# GaFe5

Crystalline GaFe5 at its relaxed geometry (PBE, Alexandria).

The structure in CIF format:
```
data_GaFe5
_chemical_formula_sum 'Ga2 Fe10'
_cell_length_a 3.975
_cell_length_b 11.912
_cell_length_c 3.024
_cell_angle_alpha 90.00
_cell_angle_beta 90.00
_cell_angle_gamma 90.00
_space_group_name_H-M_alt 'C m m m'
_space_group_IT_number 65
_space_group_name_Hall '-C 2 2'
loop_
_atom_site_label
_atom_site_fract_x
_atom_site_fract_y
_atom_site_fract_z
Ga1 0.000 0.000 0.000
Fe1 0.000 0.170 0.500
Fe2 0.000 0.335 0.000
Fe3 0.000 0.500 0.500
```

magnetic moment	11.506	μB per formula unit
energy of formation	-6	kJ/mol of atoms
total energy	-7.6175	eV per atom
V	143	Å³/cell